[1]
The following is a DFT calculation (PBE) of a relaxed structure of Nb2BiAs2.

Summary:
- size of the total moment (Bohr magnetons per cell) = 0.000
- density of states at the Fermi level (states/eV per cell) = 7.233
- formation enthalpy at 0 K (kJ per mole of atoms) = -23.18
- crystal system = tetragonal

Cell and atoms, written as POSCAR:
```
Nb2BiAs2
1.0
7.728 0.000 0.000
0.000 7.728 0.000
0.000 0.000 3.290
Nb Bi As
4 2 4
Cartesian
1.104 2.760 0.000 Nb
2.760 6.624 0.000 Nb
4.968 1.104 0.000 Nb
6.624 4.968 0.000 Nb
0.000 0.000 0.000 Bi
3.864 3.864 0.000 Bi
1.068 4.932 1.645 As
2.796 1.068 1.645 As
4.932 6.660 1.645 As
6.660 2.796 1.645 As
```

[2]
The following is a DFT calculation (PBE) of a relaxed structure of NbBiAsS2.

Summary:
- size of the total moment (Bohr magnetons per cell) = 0.000
- density of states at the Fermi level (states/eV per cell) = 5.270
- crystal system = tetragonal
- formation energy from raw total energies (eV/atom) = -0.102

Cell and atoms, written as POSCAR:
```
NbBiAsS2
1.0
4.714 0.000 0.000
0.000 4.714 0.000
0.000 0.000 5.382
Nb Bi As S
1 1 1 2
Cartesian
0.000 0.000 0.000 Nb
2.357 2.357 2.691 Bi
0.000 0.000 2.691 As
0.000 2.357 0.000 S
2.357 0.000 0.000 S
```

[3]
The following is a DFT calculation (PBE) of a relaxed structure of NbBiAs2Se.

Summary:
- size of the total moment (Bohr magnetons per cell) = 0.000
- polymorph energy (0 for the lowest one) (meV per atom) = 0
- density of states at the Fermi level (states/eV per cell) = 4.705
- crystal system = tetragonal
- formation energy from raw total energies (eV/atom) = 0.204

Cell and atoms, written as POSCAR:
```
NbBiAs2Se
1.0
5.115 0.000 0.000
0.000 5.115 0.000
0.000 0.000 4.929
Nb Bi As Se
1 1 2 1
Cartesian
0.000 0.000 0.000 Nb
2.558 2.558 2.465 Bi
0.000 2.558 0.000 As
2.558 0.000 0.000 As
0.000 0.000 2.465 Se
```